12
Lattice="-1.246 -6.804 1.720 -0.619 2.134 -6.773 8.328 -0.158 0.449" Properties=species:S:1:pos:R:3 comment="Cs3La2MnS6 PBE relaxed" e_tot_ev_per_cell=-61.97 space_group="No. 12" pbc="T T T"
La -1.037 -3.821 -1.115
La -0.828 -0.849 -3.938
S 6.421 -1.209 -0.798
S 1.159 0.320 -2.182
S 5.486 -2.554 -4.888
S 0.042 -3.619 -3.806
S 5.304 -5.149 -2.423
S 0.977 -2.274 0.283
Cs 3.025 -5.352 0.489
Cs 3.438 0.523 -5.093
Cs 3.232 -2.414 -2.302
Mn 0.000 0.000 0.000